[1]
Entry from the Alexandria database: Li2MgMo after structural relaxation (GGA-PBE).

Cell lengths 2.7128, 2.7128, 9.7675 Å; angles 90.00, 90.00, 104.80 degrees
Closest atoms and distances in Å follow each position.
Sites, in units of the cell vectors:
Mg (0.0000, 0.0000, 0.5105)  4 Mg 2.71, 2 Mo 2.87, 2 Li 3.04
Li (0.0000, 0.0000, 0.9885)  4 Li 2.71, 2 Mo 2.85
Li (0.5000, 0.5000, 0.2500)  4 Li 2.71, 2 Mg 3.04
Mo (0.5000, 0.5000, 0.7510)  4 Mo 2.71, 2 Li 2.85, 2 Mg 2.87

Output
space group	Cmm2 (35)
DOS(E_F)	0.650	states/eV per atom
ρ	3.2	Mg/m³

=====

[2]
Entry from the Alexandria database: LiMg2Mo after structural relaxation (GGA-PBE).

Cell lengths 2.8164, 4.1588, 6.1573 Å; angles 90.00, 90.00, 90.00 degrees
Closest atoms and distances in Å follow each position.
Sites, in units of the cell vectors:
Mg (0.0000, 0.0000, 0.0106)  3 Mg 2.82-2.95, 4 Mo 2.91, 4 Li 2.98
Li (0.5000, 0.5000, 0.7500)  2 Li 2.82, 8 Mg 2.98, 2 Mo 3.08
Mg (0.0000, 0.0000, 0.4894)  3 Mg 2.82-2.95, 4 Mo 2.91, 4 Li 2.98
Mo (0.5000, 0.5000, 0.2500)  2 Mo 2.82, 8 Mg 2.91, 2 Li 3.08

Output
E above lowest polymorph	160	meV per atom
space group	Pmmm (47)
DOS(E_F)	0.765	states/eV per atom
ρ	3.5	Mg/m³

=====

[3]
Entry from the Alexandria database: Li2MgMo after structural relaxation (GGA-PBE).

Cell lengths 2.6605, 2.6605, 9.6516 Å; angles 90.00, 90.00, 90.00 degrees
Closest atoms and distances in Å follow each position.
Sites, in units of the cell vectors:
Li (0.0000, 0.0000, 0.9864)  4 Li 2.66, 4 Mo 2.96
Mg (0.5000, 0.5000, 0.2500)  4 Mg 2.66
Mo (0.5000, 0.5000, 0.7500)  4 Mo 2.66, 8 Li 2.96
Li (0.0000, 0.0000, 0.5136)  4 Li 2.66, 4 Mo 2.96

Output
space group	P4/mmm (123)
DOS(E_F)	0.755	states/eV per atom
ρ	3.3	Mg/m³

=====

[4]
Entry from the Alexandria database: Li2MgMo after structural relaxation (GGA-PBE).

Cell lengths 5.4686, 5.4686, 2.5570 Å; angles 90.00, 90.00, 118.34 degrees
Closest atoms and distances in Å follow each position.
Sites, in units of the cell vectors:
Li (0.0000, 0.0000, 0.0000)  4 Li 2.56-2.80
Mg (0.5000, 0.0000, 0.5000)  2 Mg 2.56, 2 Mo 2.80
Li (0.5000, 0.5000, 0.0000)  4 Li 2.56-2.80
Mo (0.0000, 0.5000, 0.5000)  2 Mo 2.56, 2 Mg 2.80

Output
space group	Cmmm (65)
DOS(E_F)	0.575	states/eV per atom
ρ	3.3	Mg/m³

=====

[5]
Entry from the Alexandria database: LiMgMo2 after structural relaxation (GGA-PBE).

Cell lengths 10.0651, 10.0651, 10.0651 Å; angles 16.01, 16.01, 16.01 degrees
Closest atoms and distances in Å follow each position.
Sites, in units of the cell vectors:
Mo (0.2510, 0.2510, 0.2510)  9 Mo 2.80-2.89, 3 Li 2.93
Mo (0.9981, 0.9981, 0.9981)  9 Mo 2.80-2.89, 3 Mg 2.98
Mg (0.7487, 0.7487, 0.7487)  6 Mg 2.80, 3 Mo 2.98, 3 Li 3.05
Li (0.5022, 0.5022, 0.5022)  6 Li 2.80, 3 Mo 2.93, 3 Mg 3.05

Output
space group	R3m (160)
DOS(E_F)	0.600	states/eV per atom
ρ	5.5	Mg/m³

=====

[6]
Entry from the Alexandria database: LiMgMo2 after structural relaxation (GGA-PBE).

Cell lengths 5.1383, 5.1383, 5.1383 Å; angles 142.59, 124.52, 68.83 degrees
Closest atoms and distances in Å follow each position.
Sites, in units of the cell vectors:
Mo (0.7641, 0.2641, 0.5000)  2 Mo 2.43
Li (0.5037, 0.5037, 0.0000)  2 Mg 2.66, 6 Mo 2.75-2.91
Mo (0.9745, 0.9745, 0.0000)  2 Mo 2.43
Mg (0.2578, 0.7578, 0.5000)  2 Li 2.66, 6 Mo 2.90-2.91

Output
space group	Imm2 (44)
DOS(E_F)	0.776	states/eV per atom
ρ	5.5	Mg/m³

=====

[7]
Entry from the Alexandria database: Li2MgMo after structural relaxation (GGA-PBE).

Cell lengths 2.6343, 5.0738, 5.1163 Å; angles 90.00, 90.00, 90.00 degrees
Closest atoms and distances in Å follow each position.
Sites, in units of the cell vectors:
Li (0.0000, 0.0000, 0.0000)  6 Li 2.63-2.86, 4 Mg 2.88
Mo (0.0000, 0.5000, 0.5000)  2 Mo 2.63, 4 Mg 2.86, 4 Li 2.88
Mg (0.5000, 0.0000, 0.5000)  2 Mg 2.63, 4 Mo 2.86, 4 Li 2.88
Li (0.5000, 0.5000, 0.0000)  6 Li 2.63-2.86, 4 Mo 2.88

Output
space group	Pmmm (47)
DOS(E_F)	0.592	states/eV per atom
ρ	3.3	Mg/m³

=====

[8]
Entry from the Alexandria database: LiMgMo2 after structural relaxation (GGA-PBE).

Cell lengths 2.6368, 2.6368, 9.3609 Å; angles 90.00, 90.00, 90.00 degrees
Closest atoms and distances in Å follow each position.
Sites, in units of the cell vectors:
Mo (0.0000, 0.0000, 0.5009)  4 Mo 2.64
Mg (0.5000, 0.5000, 0.7500)  4 Mg 2.64
Mo (0.0000, 0.0000, 0.9991)  4 Mo 2.64
Li (0.5000, 0.5000, 0.2500)  4 Li 2.64

Output
space group	P4/mmm (123)
DOS(E_F)	0.701	states/eV per atom
ρ	5.7	Mg/m³

=====

[9]
Entry from the Alexandria database: Li2MgMo after structural relaxation (GGA-PBE).

Cell lengths 5.0604, 5.0604, 5.0604 Å; angles 132.37, 132.37, 69.64 degrees
Closest atoms and distances in Å follow each position.
Sites, in units of the cell vectors:
Li (0.0000, 0.0000, 0.0000)  4 Li 2.89, 4 Mo 2.91, 4 Mg 2.91
Mo (0.7500, 0.2500, 0.5000)  4 Mg 2.89, 8 Li 2.91
Li (0.5000, 0.5000, 0.0000)  4 Li 2.89, 4 Mg 2.91, 4 Mo 2.91
Mg (0.2500, 0.7500, 0.5000)  4 Mo 2.89, 8 Li 2.91

Output
space group	I4/mmm (139)
DOS(E_F)	0.614	states/eV per atom
ρ	3.2	Mg/m³

=====

[10]
Entry from the Alexandria database: Li3MgMo after structural relaxation (GGA-PBE).

Cell lengths 4.9798, 4.9798, 4.9798 Å; angles 90.00, 90.00, 90.00 degrees
Closest atoms and distances in Å follow each position.
Sites, in units of the cell vectors:
Li (0.0000, 0.5000, 0.0000)  2 Mo 2.49
Li (0.0000, 0.0000, 0.5000)  2 Mo 2.49
Li (0.5000, 0.0000, 0.0000)  2 Mo 2.49
Mg (0.5000, 0.5000, 0.5000)  12 Li 3.52
Mo (0.0000, 0.0000, 0.0000)  6 Li 2.49

Output
E above lowest polymorph	0	meV per atom
space group	Pm-3m (221)
DOS(E_F)	0.554	states/eV per atom
ρ	1.9	Mg/m³

=====

[11]
Entry from the Alexandria database: LiMg2Mo after structural relaxation (GGA-PBE).

Cell lengths 7.2211, 7.2211, 5.8302 Å; angles 51.74, 51.74, 90.00 degrees
Closest atoms and distances in Å follow each position.
Sites, in units of the cell vectors:
Mg (0.1502, 0.6250, 0.2500)  2 Li 2.53, 2 Mo 2.78
Mo (0.0000, 0.0000, 0.0000)  4 Mg 2.78, 2 Li 2.81
Mg (0.5998, 0.1250, 0.2500)  2 Li 2.53, 2 Mo 2.78
Li (0.5000, 0.5000, 0.0000)  4 Mg 2.53, 2 Mo 2.81
Li (0.2500, 0.7500, 0.5000)  4 Mg 2.53, 2 Mo 2.81
Mo (0.7500, 0.2500, 0.5000)  4 Mg 2.78, 2 Li 2.81
Mg (0.8750, 0.8498, 0.7500)  2 Li 2.53, 2 Mo 2.78
Mg (0.3750, 0.4002, 0.7500)  2 Li 2.53, 2 Mo 2.78

Output
E above lowest polymorph	559	meV per atom
space group	I-42d (122)
DOS(E_F)	0.415	states/eV per atom
ρ	3.4	Mg/m³

=====

[12]
Entry from the Alexandria database: LiMg2Mo after structural relaxation (GGA-PBE).

Cell lengths 5.6368, 5.6368, 5.6368 Å; angles 150.88, 127.40, 61.25 degrees
Closest atoms and distances in Å follow each position.
Sites, in units of the cell vectors:
Mo (0.7500, 0.2500, 0.5000)  2 Mo 2.83, 4 Li 2.87, 4 Mg 2.93
Li (0.2500, 0.7500, 0.5000)  4 Mg 2.69, 2 Li 2.83, 4 Mo 2.87
Mg (0.0148, 0.0148, 0.0000)  2 Li 2.69, 6 Mg 2.83-2.89, 2 Mo 2.93
Mg (0.4852, 0.4852, 0.0000)  2 Li 2.69, 6 Mg 2.83-2.89, 2 Mo 2.93

Output
E above lowest polymorph	275	meV per atom
space group	Immm (71)
DOS(E_F)	0.597	states/eV per atom
ρ	3.7	Mg/m³

=====

[13]
Entry from the Alexandria database: Li2MgMo after structural relaxation (GGA-PBE).

Cell lengths 5.0876, 5.0876, 5.3892 Å; angles 82.76, 82.76, 29.71 degrees
Closest atoms and distances in Å follow each position.
Sites, in units of the cell vectors:
Li (0.2502, 0.2502, 0.2384)  2 Li 2.61
Mg (0.5000, 0.5000, 0.5249)  2 Mg 2.61, 2 Li 2.86, 3 Mo 2.86-2.88
Li (0.9987, 0.9987, 0.9969)  2 Li 2.61, 2 Mg 2.86
Mo (0.7511, 0.7511, 0.7398)  2 Mo 2.61, 3 Mg 2.86-2.88

Output
space group	Cm (8)
DOS(E_F)	0.731	states/eV per atom
ρ	3.2	Mg/m³

=====

[14]
Entry from the Alexandria database: Li2MgMo after structural relaxation (GGA-PBE).

Cell lengths 7.1439, 7.1439, 5.7619 Å; angles 51.69, 51.69, 90.00 degrees
Closest atoms and distances in Å follow each position.
Sites, in units of the cell vectors:
Mg (0.5000, 0.5000, 0.0000)  4 Li 2.62, 2 Mo 2.77
Mg (0.2500, 0.7500, 0.5000)  4 Li 2.62, 2 Mo 2.77
Li (0.3750, 0.3757, 0.7500)  2 Mg 2.62, 2 Mo 2.62, 2 Li 2.77
Mo (0.0000, 0.0000, 0.0000)  4 Li 2.62, 2 Mg 2.77
Li (0.1257, 0.6250, 0.2500)  2 Mg 2.62, 2 Mo 2.62, 2 Li 2.77
Mo (0.7500, 0.2500, 0.5000)  4 Li 2.62, 2 Mg 2.77
Li (0.6243, 0.1250, 0.2500)  2 Mg 2.62, 2 Mo 2.62, 2 Li 2.77
Li (0.8750, 0.8743, 0.7500)  2 Mg 2.62, 2 Mo 2.62, 2 Li 2.77

Output
space group	I-42d (122)
DOS(E_F)	0.969	states/eV per atom
ρ	3.1	Mg/m³

=====

[15]
Entry from the Alexandria database: LiMgMo2 after structural relaxation (GGA-PBE).

Cell lengths 4.8005, 4.8005, 5.4703 Å; angles 87.96, 87.96, 31.44 degrees
Closest atoms and distances in Å follow each position.
Sites, in units of the cell vectors:
Mo (0.9967, 0.9967, 0.9714)  3 Mo 2.55-2.60
Li (0.4998, 0.4998, 0.4943)  2 Li 2.60, 3 Mg 2.66-2.91, 1 Mo 2.83
Mg (0.2512, 0.2512, 0.2643)  2 Mg 2.60, 3 Li 2.66-2.91, 1 Mo 2.89
Mo (0.7523, 0.7523, 0.7700)  3 Mo 2.55-2.60, 1 Li 2.83

Output
space group	Cm (8)
DOS(E_F)	0.793	states/eV per atom
ρ	5.6	Mg/m³

=====

[16]
Entry from the Alexandria database: Li2MgMo after structural relaxation (GGA-PBE).

Cell lengths 4.9233, 2.5720, 5.3750 Å; angles 87.24, 90.00, 90.00 degrees
Closest atoms and distances in Å follow each position.
Sites, in units of the cell vectors:
Li (0.0000, 0.4062, 0.5290)  3 Li 2.47-2.57
Li (0.0000, 0.0938, 0.9710)  3 Li 2.47-2.57
Mo (0.5000, 0.7500, 0.7500)  2 Mo 2.57
Mg (0.5000, 0.2500, 0.2500)  2 Mg 2.57

Output
space group	P2/m (10)
DOS(E_F)	0.589	states/eV per atom
ρ	3.3	Mg/m³

=====

[17]
Entry from the Alexandria database: LiMg2Mo after structural relaxation (GGA-PBE).

Cell lengths 2.7769, 2.7769, 9.4186 Å; angles 90.00, 90.00, 90.00 degrees
Closest atoms and distances in Å follow each position.
Sites, in units of the cell vectors:
Mg (0.0000, 0.0000, 0.9915)  4 Mg 2.78, 4 Li 3.10
Li (0.5000, 0.5000, 0.7368)  4 Li 2.78, 4 Mo 2.96, 4 Mg 3.10
Mo (0.0000, 0.0000, 0.5021)  4 Mo 2.78, 4 Mg 2.94, 4 Li 2.96
Mg (0.5000, 0.5000, 0.2697)  4 Mg 2.78, 4 Mo 2.94

Output
E above lowest polymorph	113	meV per atom
space group	P4mm (99)
DOS(E_F)	0.797	states/eV per atom
ρ	3.5	Mg/m³

=====

[18]
Entry from the Alexandria database: Li2MgMo after structural relaxation (GGA-PBE).

Cell lengths 4.2511, 4.0051, 4.0051 Å; angles 90.00, 90.00, 90.00 degrees
Closest atoms and distances in Å follow each position.
Sites, in units of the cell vectors:
Mo (0.5000, 0.0000, 0.5000)  4 Mg 2.83, 8 Li 2.92
Li (0.0000, 0.5000, 0.5000)  4 Li 2.83, 4 Mo 2.92, 4 Mg 2.92
Mg (0.5000, 0.5000, 0.0000)  4 Mo 2.83, 8 Li 2.92
Li (0.0000, 0.0000, 0.0000)  4 Li 2.83, 4 Mo 2.92, 4 Mg 2.92

Output
space group	P4/mmm (123)
DOS(E_F)	0.853	states/eV per atom
ρ	3.3	Mg/m³

=====

[19]
Entry from the Alexandria database: Li2MgMo after structural relaxation (GGA-PBE).

Cell lengths 5.9437, 5.9437, 5.9437 Å; angles 154.60, 129.27, 57.56 degrees
Closest atoms and distances in Å follow each position.
Sites, in units of the cell vectors:
Li (0.9990, 0.9990, 0.0000)  6 Li 2.61-2.86, 2 Mo 2.90, 2 Mg 2.92
Mo (0.7500, 0.2500, 0.5000)  2 Mo 2.61, 4 Mg 2.86, 4 Li 2.90
Mg (0.2500, 0.7500, 0.5000)  2 Mg 2.61, 4 Mo 2.86, 4 Li 2.92
Li (0.5010, 0.5010, 0.0000)  6 Li 2.61-2.86, 2 Mo 2.90, 2 Mg 2.92

Output
space group	Immm (71)
DOS(E_F)	0.705	states/eV per atom
ρ	3.2	Mg/m³

=====

[20]
Entry from the Alexandria database: LiMgMo2 after structural relaxation (GGA-PBE).

Cell lengths 2.6401, 2.6401, 9.5980 Å; angles 90.00, 90.00, 103.65 degrees
Closest atoms and distances in Å follow each position.
Sites, in units of the cell vectors:
Mg (0.5000, 0.5000, 0.7500)  4 Mg 2.64, 4 Mo 2.90
Li (0.5000, 0.5000, 0.2500)  4 Li 2.64, 4 Mo 2.91
Mo (0.0000, 0.0000, 0.5005)  4 Mo 2.64, 2 Mg 2.90, 2 Li 2.91
Mo (0.0000, 0.0000, 0.9995)  4 Mo 2.64, 2 Mg 2.90, 2 Li 2.91

Output
space group	Cmmm (65)
DOS(E_F)	0.711	states/eV per atom
ρ	5.7	Mg/m³

=====

Raw total energy? In order: -15.31; -14.62; -15.02; -14.64; -23.83; -23.55; -14.61; -23.49; -13.79; -12.47; -26.05; -14.16; -14.54; -25.74; -23.78; -14.83; -14.81; -13.86; -14.59; -23.59 eV per cell.